## NiPdBr2F (PBE with a Hubbard U)

Data for crystalline NiPdBr2F at its relaxed geometry.

a b c (Å): 4.9133 4.9133 5.0800
angles (deg): 90.00 90.00 90.00
Space group P4/mmm (No. 123)
Unique sites:
Ni  0.0000  0.0000  0.0000 x1
Pd  0.0000  0.0000  0.5000 x1
Br  0.0000  0.5000  0.5000 x2
F  0.5000  0.5000  0.0000 x1

The value obtained for the total magnetic moment is 0.989 μB/cell. The total energy comes out at -12.02 eV for the cell shown.